Pm4CoRhCl2: optimized geometry, PBE-GGA.

Unit cell a=6.9316 b=3.9855 c=7.8583 alpha=90.00 beta=106.88 gamma=90.00
Last column: nearest neighbours and their distance in Å.
Positions (direct):
1 Pm 0.2237 0.0000 0.2004  2 Co 2.73, 1 Rh 2.81
2 Pm 0.2574 0.5000 0.7951  1 Co 2.73, 2 Rh 2.80
3 Pm 0.7426 0.5000 0.2049  1 Co 2.73, 2 Rh 2.80
4 Pm 0.7763 0.0000 0.7996  2 Co 2.73, 1 Rh 2.81
5 Co 0.0000 0.5000 0.0000  6 Pm 2.73
6 Rh 0.5000 0.0000 0.0000  6 Pm 2.80-2.81
7 Cl 0.0000 0.0000 0.5000  6 Pm 3.17-3.18
8 Cl 0.5000 0.5000 0.5000  6 Pm 3.24-3.25

size of the total moment	0.0	μB/f.u.
raw total energy	-45.225	eV for the cell shown